w | Compound: ScCdFeSn
Source: OQMD via LeMat-Bulk
Functional: GGA-PBE
Structure: relaxed

a = 4.7358 Å, b = 4.7358 Å, c = 4.7358 Å
α = 60.00°, β = 60.00°, γ = 60.00°
Last column: nearest neighbours and their distance in Å.
Atoms (fractional coordinates):
1 Cd 0.2500 0.2500 0.2500  4 Sc 2.90, 4 Sn 2.90
2 Fe 0.7500 0.7500 0.7500  4 Sc 2.90, 4 Sn 2.90
3 Sc 0.5000 0.5000 0.5000  4 Cd 2.90, 4 Fe 2.90
4 Sn 0.0000 0.0000 0.0000  4 Fe 2.90, 4 Cd 2.90

Properties
Volume in Å³/cell: 75.11
Calculated density in Mg/m³: 7.3

x | Compound: ScCdFeSn
Source: OQMD via LeMat-Bulk
Functional: GGA-PBE
Structure: relaxed

a = 4.7340 Å, b = 4.7340 Å, c = 4.7340 Å
α = 60.00°, β = 60.00°, γ = 60.00°
Last column: nearest neighbours and their distance in Å.
Atoms (fractional coordinates):
1 Cd 0.5000 0.5000 0.5000  4 Fe 2.90, 4 Sc 2.90
2 Fe 0.7500 0.7500 0.7500  4 Cd 2.90, 4 Sn 2.90
3 Sc 0.2500 0.2500 0.2500  4 Cd 2.90, 4 Sn 2.90
4 Sn 0.0000 0.0000 0.0000  4 Fe 2.90, 4 Sc 2.90

Properties
Volume in Å³/cell: 75.02
Calculated density in Mg/m³: 7.3

Which is the most stable structure? x is the most stable.